The following is a DFT calculation (GGA-PBEsol) of AgP2Br after structural relaxation.

Lattice parameters (Å, degrees): 2.875 4.931 4.931 90.00 90.00 90.00
Element x y z (fractional)
Ag (0.500, 0.500, 0.500)
Br (0.500, 0.000, 0.000)
P (0.000, 0.000, 0.500)
P (0.000, 0.500, 0.000)

Calculated values
SG: P4/mmm, No. 123
M_tot: 0.0 Bohr magnetons per cell
ΔE to the lowest computed polymorph: 232.9 kJ/mol of formula units
Formation energy (no corrections): 756 meV/atom


The following is a DFT calculation (GGA-PBEsol) of LuCdPt2 after structural relaxation.

Lattice parameters (Å, degrees): 4.658 4.658 4.658 60.00 60.00 60.00
Element x y z (fractional)
Lu (0.000, 0.000, 0.000)
Pt (0.750, 0.750, 0.750)
Pt (0.250, 0.250, 0.250)
Cd (0.500, 0.500, 0.500)

Calculated values
Calculated formation energy: -0.856 eV/atom
SG: Fm-3m, No. 225
M_tot: 0.0 Bohr magnetons per cell


The following is a DFT calculation (GGA-PBEsol) of ZnIn2SeO after structural relaxation.

Lattice parameters (Å, degrees): 4.594 5.218 5.218 90.00 90.00 90.00
Element x y z (fractional)
Zn (0.000, 0.000, 0.000)
O (0.500, 0.500, 0.500)
Se (0.500, 0.000, 0.000)
In (0.000, 0.000, 0.500)
In (0.000, 0.500, 0.000)

Calculated values
SG: P4/mmm, No. 123
M_tot: 0.8 Bohr magnetons per cell
Formation energy (no corrections): 526 meV/atom


The following is a DFT calculation (GGA-PBEsol) of ZrCd2AgS after structural relaxation.

Lattice parameters (Å, degrees): 5.105 5.484 5.484 90.00 90.00 90.00
Element x y z (fractional)
S (0.500, 0.500, 0.500)
Zr (0.000, 0.000, 0.000)
Ag (0.500, 0.000, 0.000)
Cd (0.000, 0.000, 0.500)
Cd (0.000, 0.500, 0.000)

Calculated values
SG: P4/mmm, No. 123
M_tot: 0.2 Bohr magnetons per cell
Formation energy (no corrections): 1313 meV/atom


The following is a DFT calculation (GGA-PBEsol) of Sr2RePb after structural relaxation.

Lattice parameters (Å, degrees): 3.099 4.696 7.113 90.00 90.00 90.00
Element x y z (fractional)
Pb (0.500, 0.500, 0.000)
Re (0.500, 0.500, 0.500)
Sr (0.000, 0.000, 0.735)
Sr (0.000, 0.000, 0.265)

Calculated values
Calculated formation energy: 0.650 eV/atom
SG: Pmmm, No. 47
M_tot: 0.0 Bohr magnetons per cell


The following is a DFT calculation (GGA-PBEsol) of KTa2Cu after structural relaxation.

Lattice parameters (Å, degrees): 2.779 2.779 10.305 90.00 90.00 90.00
Element x y z (fractional)
Cu (0.500, 0.500, 0.000)
K (0.500, 0.500, 0.500)
Ta (0.000, 0.000, 0.820)
Ta (0.000, 0.000, 0.180)

Calculated values
Calculated formation energy: 0.810 eV/atom
SG: P4/mmm, No. 123
M_tot: 0.0 Bohr magnetons per cell
ΔE to the lowest computed polymorph: 0.0 kJ/mol of formula units


The following is a DFT calculation (GGA-PBEsol) of Tm3SbO7 after structural relaxation.

Lattice parameters (Å, degrees): 6.317 6.317 7.349 90.00 90.00 109.43
Element x y z (fractional)
Tm (0.999, 0.468, 0.750)
Tm (0.001, 0.532, 0.250)
Tm (0.532, 0.001, 0.750)
Tm (0.468, 0.999, 0.250)
Tm (0.501, 0.501, 0.500)
Tm (0.499, 0.499, 0.000)
Sb (0.000, 0.000, 0.500)
Sb (0.000, 0.000, 0.000)
O (0.637, 0.363, 0.750)
O (0.363, 0.637, 0.250)
O (0.925, 0.075, 0.750)
O (0.075, 0.925, 0.250)
O (0.924, 0.673, 0.531)
O (0.076, 0.327, 0.031)
O (0.327, 0.076, 0.969)
O (0.673, 0.924, 0.469)
O (0.369, 0.631, 0.750)
O (0.631, 0.369, 0.250)
O (0.925, 0.673, 0.969)
O (0.075, 0.327, 0.469)
O (0.327, 0.075, 0.531)
O (0.673, 0.925, 0.031)

Calculated values
SG: C222_1, No. 20
M_tot: 0.0 Bohr magnetons per cell
Formation energy (no corrections): -3077 meV/atom


The following is a DFT calculation (GGA-PBEsol) of HfAg2Ru after structural relaxation.

Lattice parameters (Å, degrees): 4.543 4.543 4.543 60.00 60.00 60.00
Element x y z (fractional)
Ru (0.000, 0.000, 0.000)
Hf (0.500, 0.500, 0.500)
Ag (0.250, 0.250, 0.250)
Ag (0.750, 0.750, 0.750)

Calculated values
Calculated formation energy: 0.255 eV/atom
SG: Fm-3m, No. 225
M_tot: 0.0 Bohr magnetons per cell